# 1
Computed, not measured: a relaxed InIr2Pd crystal at the PBE level of DFT.

Geometry as POSCAR:
```
InIr2Pd
1.0
0.0000 3.1883 3.1883
3.1883 0.0000 3.1883
3.1883 3.1883 0.0000
Ir Pd In
2 1 1
direct
0.7500 0.7500 0.7500 Ir
0.0000 0.0000 0.0000 Ir
0.2500 0.2500 0.2500 Pd
0.5000 0.5000 0.5000 In
```

## Properties
final energy	-6.26	eV/atom
magnetic moment	0.755	Bohr magnetons per cell
SG	F-43m

# 2
Computed, not measured: a relaxed In8IrPd2 crystal at the PBE level of DFT.

Geometry as POSCAR:
```
In8IrPd2
1.0
4.5563 0.0000 0.0000
0.0000 4.5563 0.0000
0.0000 0.0000 11.7506
In Pd Ir
8 2 1
direct
0.5000 0.5000 0.3160 In
0.5000 0.0000 0.8660 In
0.0000 0.5000 0.8660 In
0.5000 0.0000 0.5000 In
0.5000 0.0000 0.1340 In
0.0000 0.5000 0.1340 In
0.0000 0.5000 0.5000 In
0.5000 0.5000 0.6840 In
0.0000 0.0000 0.2899 Pd
0.0000 0.0000 0.7101 Pd
0.0000 0.0000 0.0000 Ir
```

## Properties
final energy	-3.82	eV/atom
magnetic moment	0.016	Bohr magnetons per cell
SG	P4/mmm

What is the formula in the second record?
In8IrPd2